Entry 1:
NbVPt3: optimized geometry, GGA-PBE.

Raw total energy in eV/atom: -6.751
Space-group type: Pm-3m, No. 221
Energy above the most stable polymorph in this dataset in eV/atom: 0.838
Energy of formation in eV per atom: 0.71

POSCAR file:
```
NbVPt3
1.0
4.6017 0.0000 0.0000
0.0000 4.6017 0.0000
0.0000 0.0000 4.6017
Nb Pt V
1 3 1
direct
0.5000 0.5000 0.5000
0.0000 0.0000 0.5000
0.5000 0.0000 0.0000
0.0000 0.5000 0.0000
0.0000 0.0000 0.0000
```

Entry 2:
NaAlRh3: optimized geometry, GGA-PBE.

Raw total energy in eV/atom: -4.040
Space-group type: Pm-3m, No. 221
Energy above the most stable polymorph in this dataset in eV/atom: 0.930
Energy of formation in eV per atom: 1.38

POSCAR file:
```
NaAlRh3
1.0
4.4478 0.0000 0.0000
0.0000 4.4478 0.0000
0.0000 0.0000 4.4478
Na Rh Al
1 3 1
direct
0.0000 0.0000 0.0000
0.0000 0.0000 0.5000
0.5000 0.0000 0.0000
0.0000 0.5000 0.0000
0.5000 0.5000 0.5000
```

Entry 3:
Zr2OsRu: optimized geometry, GGA-PBE.

Raw total energy in eV/atom: -9.625
Space-group type: I-4m2, No. 119
Energy of formation in eV per atom: -0.22

POSCAR file:
```
Zr2OsRu
1.0
-0.4483 5.3590 1.2349
-4.8310 2.6051 -0.5654
1.9875 -4.6313 2.2462
Os Ru Zr
1 1 2
direct
0.5000 0.5000 0.0000
0.7500 0.2500 0.5000
0.0000 0.0000 0.0000
0.2500 0.7500 0.5000
```

Entry 4:
HfFeSb2: optimized geometry, GGA-PBE.

Raw total energy in eV/atom: -6.270
Space-group type: I-42d, No. 122
Energy above the most stable polymorph in this dataset in eV/atom: 0.149

POSCAR file:
```
HfFeSb2
1.0
4.2928 0.0000 0.0000
0.0000 4.2928 0.0000
2.1464 2.1464 9.4085
Sb Hf Fe
4 2 2
direct
0.8750 0.8506 0.7500
0.1494 0.6250 0.2500
0.3750 0.3994 0.7500
0.6006 0.1250 0.2500
0.0000 0.0000 0.0000
0.7500 0.2500 0.5000
0.2500 0.7500 0.5000
0.5000 0.5000 0.0000
```

Entry 5:
CaSm2HoHg4: optimized geometry, GGA-PBE.

Raw total energy in eV/atom: -2.666
Space-group type: R-3m, No. 166
Energy of formation in eV per atom: -0.51

POSCAR file:
```
CaSm2HoHg4
1.0
5.3260 0.0000 0.0000
2.6630 4.6124 0.0000
2.6630 1.5375 8.6934
Hg Ho Ca Sm
4 1 1 2
direct
0.8733 0.8733 0.3802
0.3769 0.3769 0.8693
0.6231 0.6231 0.1307
0.1267 0.1267 0.6198
0.5000 0.5000 0.5000
0.0000 0.0000 0.0000
0.2515 0.2515 0.2455
0.7485 0.7485 0.7545
```

Entry 6:
ZrTa3Ir: optimized geometry, GGA-PBE.

Raw total energy in eV/atom: -9.736
Space-group type: Pm-3m, No. 221
Energy above the most stable polymorph in this dataset in eV/atom: 0.000
Energy of formation in eV per atom: 0.86

POSCAR file:
```
ZrTa3Ir
1.0
-4.1747 1.8985 -1.6222
0.6361 -2.2475 -4.2671
-2.4148 -3.8741 1.6805
Ta Ir Zr
3 1 1
direct
0.0000 0.0000 0.5000
0.0000 0.5000 0.0000
0.5000 0.0000 0.0000
0.0000 0.0000 0.0000
0.5000 0.5000 0.5000
```

Entry 7:
Nd4ZnGa: optimized geometry, GGA-PBE.

Raw total energy in eV/atom: -3.994
Space-group type: Cm, No. 8
Energy of formation in eV per atom: -0.10

POSCAR file:
```
Nd4ZnGa
1.0
3.6834 0.0000 -0.0001
-1.8416 5.8404 -1.0288
0.0001 -1.0124 8.7275
Ga Zn Nd
1 1 4
direct
0.4330 0.8660 0.4579
0.0673 0.1346 0.0432
0.8716 0.7432 0.7017
0.1338 0.2677 0.4100
0.3663 0.7325 0.0927
0.6280 0.2559 0.7946
```

Entry 8:
InSiMo2: optimized geometry, GGA-PBE.

Raw total energy in eV/atom: -7.146
Space-group type: I-4m2, No. 119
Energy above the most stable polymorph in this dataset in eV/atom: 0.271

POSCAR file:
```
InSiMo2
1.0
-4.6500 -1.2459 -1.3350
-0.3901 -0.5592 -4.9490
3.1766 -1.8220 3.3981
In Mo Si
1 2 1
direct
0.7500 0.2500 0.5000
0.0000 0.0000 0.0000
0.2500 0.7500 0.5000
0.5000 0.5000 0.0000
```